[1]
Dy3Tm8Th2 (GGA-PBE, optimized geometry); E above lowest polymorph = 0.111 eV per atom; DFT total energy = -60.76 eV for the cell shown; space-group type = Cmmm, No. 65
1.0
5.5348 0.0000 0.7759
0.0000 7.3047 0.0000
-1.4324 -3.6524 10.2147
Tm Th Dy
8 2 3
direct
0.0000 0.3351 0.6702
0.5000 0.6088 0.7798
0.9999 0.1388 0.2777
0.5000 0.1710 0.7798
0.0001 0.8612 0.7223
0.5000 0.3912 0.2202
0.0000 0.6649 0.3298
0.5000 0.8290 0.2202
0.5000 0.2452 0.4904
0.5000 0.7548 0.5096
0.0000 0.7248 0.0000
0.5000 0.0000 0.0000
0.0000 0.2752 0.0000

=====

[2]
DyTm6Th3 (GGA-PBE, optimized geometry); E above lowest polymorph = 0.295 eV per atom; DFT total energy = -49.94 eV for the cell shown; space-group type = R-3, No. 148
1.0
8.6212 0.0000 4.5750
3.0967 8.0458 4.5750
2.1415 1.4704 6.3750
Tm Th Dy
6 3 1
direct
0.5988 0.2651 0.2050
0.7687 0.1010 0.6954
0.1010 0.4349 0.6954
0.4349 0.7687 0.6954
0.2651 0.9311 0.2050
0.9311 0.5988 0.2050
0.0987 0.0987 0.7038
0.6015 0.6015 0.1956
0.3501 0.3501 0.9498
0.8501 0.8501 0.4497

=====

[3]
Dy3Tm3Th4 (GGA-PBE, optimized geometry); DFT total energy = -54.58 eV for the cell shown; space-group type = Amm2, No. 38
1.0
-3.1804 -1.7910 0.8628
4.8279 -6.0696 5.1972
-1.0771 5.5071 7.4613
Dy Th Tm
3 4 3
direct
0.0000 0.5009 0.0008
0.0000 0.9992 0.4991
0.5000 0.1637 0.8363
0.0000 0.3679 0.6321
0.0000 0.6326 0.3674
0.0000 0.1324 0.1336
0.0000 0.8664 0.8676
0.5000 0.6640 0.6635
0.5000 0.3365 0.3360
0.5000 0.8364 0.1636

=====

[4]
Dy7Tm3Th2 (GGA-PBE, optimized geometry); DFT total energy = -57.12 eV for the cell shown; space-group type = P2/m, No. 10
1.0
3.5889 0.0000 -0.4747
0.0000 5.5360 0.0002
0.8501 0.0008 20.4915
Dy Th Tm
7 2 3
direct
0.0000 0.0000 0.0000
0.5864 0.0000 0.1687
0.7133 0.5000 0.4283
0.2867 0.5000 0.5717
0.0671 0.5000 0.1307
0.4136 0.0000 0.8313
0.9329 0.5000 0.8693
0.6398 0.5000 0.2753
0.3602 0.5000 0.7247
0.1710 0.0000 0.3386
0.5000 0.5000 0.0000
0.8290 0.0000 0.6614

=====

[5]
Dy5Tm3Th2 (GGA-PBE, optimized geometry); DFT total energy = -98.22 eV for the cell shown; space-group type = C2/c, No. 15
1.0
8.0865 1.3245 -3.6786
-0.0459 8.1808 -3.7189
-1.2779 -1.4575 10.9136
Dy Tm Th
10 6 4
direct
0.4693 0.7193 0.4386
0.6221 0.8672 0.2399
0.5307 0.2807 0.5614
0.1178 0.3727 0.2399
0.0266 0.7766 0.5533
0.3779 0.1328 0.7601
0.7215 0.4715 0.9431
0.8822 0.6273 0.7601
0.2785 0.5285 0.0569
0.9734 0.2234 0.4467
0.7832 0.0332 0.0665
0.7269 0.4758 0.2465
0.2731 0.5242 0.7535
0.9805 0.2293 0.7535
0.0195 0.7707 0.2465
0.2168 0.9668 0.9335
0.4902 0.7410 0.7529
0.7626 0.0119 0.7529
0.5098 0.2590 0.2471
0.2374 0.9881 0.2471

=====

[6]
Dy2Tm5Th2 (GGA-PBE, optimized geometry); E above lowest polymorph = 0.000 eV per atom; DFT total energy = -44.96 eV for the cell shown; space-group type = C2/m, No. 12
1.0
3.4509 -0.4391 -0.8063
-1.4390 6.8936 -1.9943
0.9457 -1.8913 13.0047
Th Tm Dy
2 5 2
direct
0.5815 0.2732 0.8898
0.4185 0.7268 0.1102
0.6003 0.8095 0.3906
0.0000 0.0000 0.0000
0.2042 0.5933 0.8153
0.7958 0.4067 0.1847
0.3997 0.1905 0.6094
0.7389 0.8143 0.6639
0.2611 0.1857 0.3361

=====

[7]
Dy3Tm8Th4 (GGA-PBE, optimized geometry); DFT total energy = -72.63 eV for the cell shown; space-group type = C2/m, No. 12
1.0
11.5714 -0.0977 -0.1404
-5.7166 7.1978 -0.9058
-5.7166 -3.3482 6.4357
Tm Th Dy
8 4 3
direct
0.5060 0.2480 0.2480
0.5000 0.2507 0.7493
0.0042 0.2655 0.2655
0.0000 0.6365 0.3635
0.4940 0.7520 0.7520
0.0000 0.3635 0.6365
0.5000 0.7493 0.2507
0.9958 0.7345 0.7345
0.0000 0.5000 0.0000
0.0000 0.0000 0.5000
0.0000 0.0000 0.0000
0.5000 0.0000 0.0000
0.5000 0.0000 0.5000
0.5000 0.5000 0.0000
0.5000 0.5000 0.5000

=====

[8]
DyTm5Th (GGA-PBE, optimized geometry); E above lowest polymorph = 0.000 eV per atom; DFT total energy = -66.04 eV for the cell shown; space-group type = C2/c, No. 15
1.0
-5.9968 0.9360 0.2366
-4.1316 -5.1475 -6.3894
-2.4697 -5.9604 5.5733
Tm Dy Th
10 2 2
direct
0.4592 0.3137 0.5391
0.1490 0.7020 0.2500
0.7729 0.6863 0.0391
0.8510 0.2980 0.7500
0.9850 0.6259 0.6464
0.5408 0.6863 0.4609
0.6109 0.3741 0.1464
0.0150 0.3741 0.3536
0.2271 0.3137 0.9609
0.3891 0.6259 0.8536
0.4867 0.0265 0.2500
0.5133 0.9735 0.7500
0.0000 0.0000 0.0000
0.0000 0.0000 0.5000

=====

[9]
DyTm5Th4 (GGA-PBE, optimized geometry); E above lowest polymorph = 0.000 eV per atom; DFT total energy = -55.54 eV for the cell shown; space-group type = P-1, No. 2
1.0
-1.8168 2.6661 1.2298
-8.9359 -3.0828 -6.5473
-4.0502 -6.6814 3.6514
Tm Dy Th
5 1 4
direct
0.2099 0.3843 0.4190
0.8061 0.0850 0.6124
0.5000 0.5000 0.0000
0.1939 0.9150 0.3876
0.7901 0.6157 0.5810
0.5000 0.0000 0.0000
0.4020 0.7940 0.8046
0.9081 0.2967 0.8181
0.5980 0.2060 0.1954
0.0919 0.7033 0.1819

=====

[10]
DyTmTh2 (GGA-PBE, optimized geometry); E above lowest polymorph = 0.485 eV per atom; DFT total energy = -43.70 eV for the cell shown; space-group type = C2/c, No. 15
1.0
13.8675 2.9969 0.0634
-13.8675 2.9969 0.0634
0.0000 0.2371 3.4955
Th Dy Tm
4 2 2
direct
0.1935 0.3004 0.4622
0.3004 0.1935 0.9622
0.8065 0.6996 0.5378
0.6996 0.8065 0.0378
0.0000 0.5000 0.5000
0.5000 0.0000 0.0000
0.3490 0.6510 0.7500
0.6510 0.3490 0.2500

=====

[11]
DyTmTh (GGA-PBE, optimized geometry); E above lowest polymorph = 0.000 eV per atom; DFT total energy = -32.87 eV for the cell shown; space-group type = R-3m, No. 166
1.0
3.5648 -0.0153 0.0036
-1.7686 3.0952 -0.0036
-1.7951 -1.0168 17.1421
Tm Dy Th
2 2 2
direct
0.8336 0.4162 0.2498
0.1664 0.5838 0.7502
0.3890 0.6939 0.0829
0.6110 0.3061 0.9171
0.2783 0.1387 0.4170
0.7217 0.8613 0.5830

=====

[12]
Dy5TmTh (GGA-PBE, optimized geometry); DFT total energy = -66.99 eV for the cell shown; space-group type = C2/c, No. 15
1.0
-4.3223 4.1064 -1.2915
-8.3274 -3.7791 1.4468
-1.0441 3.8427 7.6336
Tm Dy Th
2 10 2
direct
0.4865 0.0270 0.2500
0.5135 0.9730 0.7500
0.5404 0.6926 0.4629
0.1481 0.7038 0.2500
0.0128 0.3728 0.3545
0.9872 0.6272 0.6455
0.7670 0.6926 0.0371
0.2330 0.3074 0.9629
0.4596 0.3074 0.5371
0.3856 0.6272 0.8545
0.6144 0.3728 0.1455
0.8519 0.2962 0.7500
0.0000 0.0000 0.5000
0.0000 0.0000 0.0000

=====

[13]
Dy8Tm2Th (GGA-PBE, optimized geometry); E above lowest polymorph = 0.152 eV per atom; DFT total energy = -51.19 eV for the cell shown; space-group type = C2/m, No. 12
1.0
-4.5203 -2.8486 0.3224
3.4210 -4.7396 5.9245
-3.6377 6.2562 4.1104
Dy Th Tm
8 1 2
direct
0.9991 0.9679 0.7026
0.5000 0.7463 0.2537
0.0009 0.0321 0.2974
0.5000 0.2537 0.7463
0.5003 0.3350 0.3350
0.9991 0.7026 0.9679
0.0009 0.2974 0.0321
0.4997 0.6650 0.6650
0.5000 0.0000 0.0000
0.0000 0.3795 0.6205
0.0000 0.6205 0.3795

=====

[14]
DyTm12Th7 (GGA-PBE, optimized geometry); DFT total energy = -104.82 eV for the cell shown; space-group type = R-3, No. 148
1.0
8.3497 1.2428 1.8653
-1.1280 8.3659 1.8653
-1.1280 -1.5008 8.4390
Tm Th Dy
12 7 1
direct
0.1420 0.7409 0.2756
0.5028 0.3775 0.8666
0.7409 0.2756 0.1420
0.2756 0.1420 0.7409
0.6225 0.1334 0.4972
0.7244 0.8580 0.2591
0.3775 0.8666 0.5028
0.2591 0.7244 0.8580
0.1334 0.4972 0.6225
0.8580 0.2591 0.7244
0.8666 0.5028 0.3775
0.4972 0.6225 0.1334
0.0788 0.1549 0.3933
0.6067 0.9212 0.8451
0.5000 0.5000 0.5000
0.1549 0.3933 0.0788
0.9212 0.8451 0.6067
0.8451 0.6067 0.9212
0.3933 0.0788 0.1549
0.0000 0.0000 0.0000

=====

[15]
Dy4Tm5Th2 (GGA-PBE, optimized geometry); E above lowest polymorph = 0.000 eV per atom; DFT total energy = -108.30 eV for the cell shown; space-group type = Pbam, No. 55
1.0
-1.3956 1.5172 5.1731
-3.0320 -5.7490 0.8681
16.2164 -7.5570 6.5914
Dy Th Tm
8 4 10
direct
0.5000 0.7771 0.5160
0.5000 0.0939 0.1350
0.5000 0.9061 0.8650
0.5000 0.2771 0.9840
0.5000 0.4061 0.6350
0.5000 0.7229 0.0160
0.5000 0.2229 0.4840
0.5000 0.5939 0.3650
0.5000 0.5874 0.1972
0.5000 0.4126 0.8028
0.5000 0.0874 0.3028
0.5000 0.9126 0.6972
0.0000 0.6136 0.7174
0.0000 0.8864 0.2174
0.0000 0.3864 0.2826
0.0000 0.9682 0.4084
0.0000 0.1136 0.7826
0.0000 0.5000 0.5000
0.0000 0.4682 0.0916
0.0000 0.0318 0.5916
0.0000 0.5318 0.9084
0.0000 0.0000 0.0000

=====

[16]
Dy16Tm7Th6 (GGA-PBE, optimized geometry); DFT total energy = -140.73 eV for the cell shown; space-group type = Fm-3m, No. 225
1.0
9.5317 0.0000 5.5032
3.1772 8.9866 5.5032
0.0000 0.0000 11.0063
Dy Th Tm
16 6 7
direct
0.1191 0.1191 0.6426
0.3574 0.8809 0.8809
0.1191 0.1191 0.1191
0.6586 0.6586 0.6586
0.3414 0.3414 0.9759
0.0241 0.6586 0.6586
0.3414 0.3414 0.3414
0.8809 0.8809 0.3574
0.3414 0.9759 0.3414
0.6426 0.1191 0.1191
0.8809 0.8809 0.8809
0.8809 0.3574 0.8809
0.6586 0.6586 0.0241
0.1191 0.6426 0.1191
0.9759 0.3414 0.3414
0.6586 0.0241 0.6586
0.3299 0.3299 0.6701
0.3299 0.6701 0.6701
0.3299 0.6701 0.3299
0.6701 0.3299 0.6701
0.6701 0.6701 0.3299
0.6701 0.3299 0.3299
0.5000 0.0000 0.5000
0.0000 0.5000 0.5000
0.0000 0.0000 0.5000
0.0000 0.5000 0.0000
0.5000 0.0000 0.0000
0.0000 0.0000 0.0000
0.5000 0.5000 0.0000

=====

[17]
Dy3Tm7Th2 (GGA-PBE, optimized geometry); DFT total energy = -56.37 eV for the cell shown; space-group type = Cmmm, No. 65
1.0
4.5691 0.0000 0.0000
0.0000 5.3553 0.0000
0.0000 -2.6776 16.0670
Tm Dy Th
7 3 2
direct
0.0000 0.4207 0.8415
0.0000 0.5793 0.1585
0.0000 0.7285 0.4571
0.5000 0.9211 0.8421
0.0000 0.0000 0.0000
0.5000 0.0789 0.1579
0.0000 0.2715 0.5429
0.5000 0.6523 0.3045
0.5000 0.3477 0.6955
0.5000 0.5000 0.0000
0.0000 0.1587 0.3174
0.0000 0.8413 0.6826

=====

[18]
Dy3Tm12Th (GGA-PBE, optimized geometry); DFT total energy = -74.44 eV for the cell shown; space-group type = P4/mmm, No. 123
1.0
4.9594 0.0000 0.0000
0.0000 4.9594 0.0000
0.0000 0.0000 19.8073
Tm Dy Th
12 3 1
direct
0.0000 0.5000 0.6251
0.5000 0.0000 0.8756
0.5000 0.5000 0.2512
0.5000 0.0000 0.6251
0.5000 0.5000 0.7488
0.5000 0.0000 0.1244
0.0000 0.5000 0.3749
0.0000 0.5000 0.1244
0.5000 0.5000 0.0000
0.5000 0.0000 0.3749
0.5000 0.5000 0.5000
0.0000 0.5000 0.8756
0.0000 0.0000 0.7503
0.0000 0.0000 0.5000
0.0000 0.0000 0.2497
0.0000 0.0000 0.0000

=====

[19]
Dy6Tm2Th (GGA-PBE, optimized geometry); E above lowest polymorph = 0.000 eV per atom; DFT total energy = -43.46 eV for the cell shown; space-group type = P-6m2, No. 187
1.0
-2.9778 -1.2498 1.4742
2.1318 -2.1808 -1.8171
13.1485 -5.4365 21.9501
Dy Tm Th
6 2 1
direct
0.6667 0.3333 0.8887
0.3333 0.6667 0.5657
0.3333 0.6667 0.7789
0.6667 0.3333 0.1113
0.3333 0.6667 0.4343
0.3333 0.6667 0.2211
0.6667 0.3333 0.6710
0.6667 0.3333 0.3290
0.3333 0.6667 0.0000

=====

| no. | ΔE_f (eV/atom) |
| --- | --- |
| 1 | 0.2815 |
| 2 | 0.3747 |
| 3 | 0.2315 |
| 4 | 0.2790 |
| 5 | 0.2154 |
| 6 | 0.1599 |
| 7 | 0.4417 |
| 8 | 0.1945 |
| 9 | 0.1096 |
| 10 | 0.5164 |
| 11 | 0.0200 |
| 12 | 0.2011 |
| 13 | 0.1807 |
| 14 | 0.2692 |
| 15 | 0.1323 |
| 16 | 0.3010 |
| 17 | 0.2979 |
| 18 | 0.0275 |
| 19 | 0.0569 |